[1]
PrTmNi2P2 | PBE | optimized geometry

Results
magnetic moment = 0.0 μB/f.u.

Lattice parameters (Å, degrees): 3.918 3.918 7.912 90.00 90.00 120.00
Fractional positions:
Pr: 0.000 0.000 0.000
Tm: 0.000 0.000 0.500
Ni: 0.333 0.667 0.738
Ni: 0.667 0.333 0.262
P: 0.333 0.667 0.265
P: 0.667 0.333 0.735

***

[2]
PrYNi2P2 | PBE | optimized geometry

Results
magnetic moment = 0.0 μB/f.u.

Lattice parameters (Å, degrees): 3.930 3.930 8.013 90.00 90.00 120.00
Fractional positions:
Pr: 0.000 0.000 0.000
Y: 0.000 0.000 0.500
Ni: 0.333 0.667 0.743
Ni: 0.667 0.333 0.257
P: 0.333 0.667 0.262
P: 0.667 0.333 0.738

***

[3]
Pr2ZnNi12P3 | PBE | optimized geometry

Results
magnetic moment = 0.0 μB/f.u.

Lattice parameters (Å, degrees): 6.900 6.900 6.900 70.85 70.85 70.85
Fractional positions:
Pr: 0.116 0.116 0.116
Pr: 0.884 0.884 0.884
Zn: 0.500 0.500 0.500
Ni: 0.142 0.631 0.631
Ni: 0.217 0.217 0.646
Ni: 0.217 0.646 0.217
Ni: 0.354 0.783 0.783
Ni: 0.369 0.369 0.858
Ni: 0.369 0.858 0.369
Ni: 0.631 0.142 0.631
Ni: 0.631 0.631 0.142
Ni: 0.646 0.217 0.217
Ni: 0.783 0.354 0.783
Ni: 0.783 0.783 0.354
Ni: 0.858 0.369 0.369
P: 0.000 0.500 0.500
P: 0.500 0.000 0.500
P: 0.500 0.500 0.000

***

[4]
Pr2ZnNi3P4 | PBE | optimized geometry

Results
magnetic moment = 0.0 μB/f.u.

Lattice parameters (Å, degrees): 4.099 4.099 9.457 90.00 90.00 90.00
Fractional positions:
Pr: 0.000 0.500 0.241
Pr: 0.500 0.000 0.759
Zn: 0.000 0.000 0.500
Ni: 0.000 0.500 0.891
Ni: 0.500 0.000 0.109
Ni: 0.500 0.500 0.500
P: 0.000 0.000 0.000
P: 0.000 0.500 0.641
P: 0.500 0.000 0.359
P: 0.500 0.500 0.000

***

Number 1: formation energy from the elements -1.18 eV/atom. Number 2: formation energy from the elements -1.18 eV/atom. Number 3: formation energy from the elements -0.11 eV/atom. Number 4: formation energy from the elements -0.87 eV/atom.